# GGA-PBE Ba3Se2F, relaxed
data_Ba3Se2F
_symmetry_space_group_name_H-M 'I m m m'
_symmetry_Int_Tables_number 71
_symmetry_space_group_name_Hall '-I 2 2'
_cell_length_a 4.538
_cell_length_b 6.496
_cell_length_c 13.408
_cell_angle_alpha 90.00
_cell_angle_beta 90.00
_cell_angle_gamma 90.00
loop_
_atom_site_label
_atom_site_type_symbol
_atom_site_fract_x
_atom_site_fract_y
_atom_site_fract_z
Ba1 Ba 0.000 0.000 0.000
Ba2 Ba 0.000 0.000 0.343
Se1 Se 0.000 0.500 0.328
F1 F 0.000 0.500 0.000
# Formation energy without anion corrections, meV/atom: -2183
# Magnetic moment, μB per atom: 0.0000
# DFT total energy, eV/f.u.: -27.7



# GGA-PBE BaSe2F, relaxed
data_BaSe2F
_symmetry_space_group_name_H-M 'R -3 m'
_symmetry_Int_Tables_number 166
_symmetry_space_group_name_Hall '-R 3 2"'
_cell_length_a 5.3329
_cell_length_b 5.3329
_cell_length_c 19.9227
_cell_angle_alpha 90.00
_cell_angle_beta 90.00
_cell_angle_gamma 120.00
loop_
_atom_site_label
_atom_site_type_symbol
_atom_site_fract_x
_atom_site_fract_y
_atom_site_fract_z
Ba1 Ba 0.0000 0.0000 0.0000
Se1 Se 0.0000 0.0000 0.3932
F1 F 0.0000 0.0000 0.5000
# Formation energy without anion corrections, meV/atom: -989
# Magnetic moment, μB per atom: 0.2500
# DFT total energy, eV/f.u.: -14.7



# GGA-PBE BaSe3F, relaxed
data_BaSe3F
_symmetry_space_group_name_H-M 'P m -3 m'
_symmetry_Int_Tables_number 221
_symmetry_space_group_name_Hall '-P 4 2 3'
_cell_length_a 6.332
_cell_length_b 6.332
_cell_length_c 6.332
_cell_angle_alpha 90.00
_cell_angle_beta 90.00
_cell_angle_gamma 90.00
loop_
_atom_site_label
_atom_site_type_symbol
_atom_site_fract_x
_atom_site_fract_y
_atom_site_fract_z
Ba1 Ba 0.000 0.000 0.000
Se1 Se 0.000 0.000 0.500
F1 F 0.500 0.500 0.500
# Formation energy without anion corrections, meV/atom: 180
# Magnetic moment, μB per atom: 1.0000
# DFT total energy, eV/f.u.: -13.3



# GGA-PBE Ba2SeF, relaxed
data_Ba2SeF
_symmetry_space_group_name_H-M 'R -3 m'
_symmetry_Int_Tables_number 166
_symmetry_space_group_name_Hall '-R 3 2"'
_cell_length_a 4.4372
_cell_length_b 4.4372
_cell_length_c 21.1270
_cell_angle_alpha 90.00
_cell_angle_beta 90.00
_cell_angle_gamma 120.00
loop_
_atom_site_label
_atom_site_type_symbol
_atom_site_fract_x
_atom_site_fract_y
_atom_site_fract_z
Ba1 Ba 0.0000 0.0000 0.2428
Se1 Se 0.0000 0.0000 0.0000
F1 F 0.0000 0.0000 0.5000
# Formation energy without anion corrections, meV/atom: -2262
# Magnetic moment, μB per atom: 0.0693
# DFT total energy, eV/f.u.: -18.3



# GGA-PBE Ba2SeF, relaxed
data_Ba2SeF
_symmetry_space_group_name_H-M 'F m -3 m'
_symmetry_Int_Tables_number 225
_symmetry_space_group_name_Hall '-F 4 2 3'
_cell_length_a 7.633
_cell_length_b 7.633
_cell_length_c 7.633
_cell_angle_alpha 90.00
_cell_angle_beta 90.00
_cell_angle_gamma 90.00
loop_
_atom_site_label
_atom_site_type_symbol
_atom_site_fract_x
_atom_site_fract_y
_atom_site_fract_z
Ba1 Ba 0.250 0.250 0.250
Se1 Se 0.000 0.000 0.000
F1 F 0.000 0.000 0.500
# Formation energy without anion corrections, meV/atom: -2042
# Magnetic moment, μB per atom: 0.0000
# DFT total energy, eV/f.u.: -17.4



# GGA-PBE BaSmSe2F, relaxed
data_BaSmSe2F
_symmetry_space_group_name_H-M 'P 4/n m m'
_symmetry_Int_Tables_number 129
_cell_length_a 4.278
_cell_length_b 4.278
_cell_length_c 15.140
_cell_angle_alpha 90.00
_cell_angle_beta 90.00
_cell_angle_gamma 90.00
loop_
_symmetry_equiv_pos_as_xyz
'x,y,z'
'-x,-y,-z'
'-y+1/2,x,z'
'y+1/2,-x,-z'
'-x+1/2,-y+1/2,z'
'x+1/2,y+1/2,-z'
'y,-x+1/2,z'
'-y,x+1/2,-z'
'x+1/2,-y,-z'
'-x+1/2,y,z'
'-y,-x,-z'
'y,x,z'
'-x,y+1/2,-z'
'x,-y+1/2,z'
'y+1/2,x+1/2,-z'
'-y+1/2,-x+1/2,z'
loop_
_atom_site_label
_atom_site_type_symbol
_atom_site_fract_x
_atom_site_fract_y
_atom_site_fract_z
Ba1 Ba 0.250 0.250 0.105
Sm1 Sm 0.250 0.250 0.617
Se1 Se 0.250 0.250 0.409
Se2 Se 0.250 0.250 0.793
F1 F 0.250 0.750 0.000
# Formation energy without anion corrections, meV/atom: -2466
# Magnetic moment, μB per atom: 0.0000
# DFT total energy, eV/f.u.: -27.8